Density functional theory data (GGA-PBE) for YH8PtRh4 after structural relaxation.

Values from the calculation:
SG = R3m (160)
Total energy = -5.101 eV per atom

Lattice parameters (Å, degrees): 5.6328 5.6328 5.6328 60.38 60.38 60.38
Last column: nearest neighbours and their distance in Å.
Atoms (fractional coordinates):
1 Y 0.0000 0.0000 0.0000  4 H 2.17-2.18
2 H 0.2992 0.2992 0.8943  3 Rh 1.76-1.89
3 H 0.2992 0.8943 0.2992  3 Rh 1.76-1.89
4 H 0.3828 0.3828 0.3828  4 Rh 1.85-1.90
5 H 0.4719 0.8347 0.8347  1 Pt 1.81, 2 Rh 1.81
6 H 0.8347 0.4719 0.8347  1 Pt 1.81, 2 Rh 1.81
7 H 0.8347 0.8347 0.4719  1 Pt 1.81, 2 Rh 1.81
8 H 0.8421 0.8421 0.8421  3 Rh 1.81
9 H 0.8943 0.2992 0.2992  3 Rh 1.76-1.89
10 Pt 0.6149 0.6149 0.6149  3 H 1.81
11 Rh 0.1274 0.6202 0.6202  6 H 1.81-1.90
12 Rh 0.2482 0.2482 0.2482  4 H 1.76-1.85
13 Rh 0.6202 0.1274 0.6202  6 H 1.81-1.90
14 Rh 0.6202 0.6202 0.1274  6 H 1.81-1.90



Density functional theory data (GGA-PBE) for Tm3ScAl after structural relaxation.

Values from the calculation:
SG = Cmcm (63)
Energy relative to the lowest polymorph listed for this composition = 22 meV per atom
Total energy = -4.819 eV per atom

Lattice parameters (Å, degrees): 12.0394 12.0394 4.6540 90.00 90.00 157.75
Last column: nearest neighbours and their distance in Å.
Atoms (fractional coordinates):
1 Tm 0.0538 0.9462 0.7500  2 Sc 3.28, 8 Tm 3.29-3.49, 2 Al 3.30
2 Tm 0.2498 0.7502 0.7500  4 Al 3.26-3.27, 4 Sc 3.28-3.29, 4 Tm 3.29
3 Tm 0.4436 0.5564 0.7500  2 Sc 3.24, 2 Al 3.26, 8 Tm 3.29-3.54
4 Tm 0.5564 0.4436 0.2500  2 Sc 3.24, 2 Al 3.26, 8 Tm 3.29-3.54
5 Tm 0.7502 0.2498 0.2500  4 Al 3.26-3.27, 4 Sc 3.28-3.29, 4 Tm 3.29
6 Tm 0.9462 0.0538 0.2500  2 Sc 3.28, 8 Tm 3.29-3.49, 2 Al 3.30
7 Sc 0.1519 0.8481 0.2500  8 Tm 3.24-3.29, 4 Al 3.29
8 Sc 0.8481 0.1519 0.7500  8 Tm 3.24-3.29, 4 Al 3.29
9 Al 0.3472 0.6528 0.2500  8 Tm 3.26-3.30, 4 Sc 3.29
10 Al 0.6528 0.3472 0.7500  8 Tm 3.26-3.30, 4 Sc 3.29



Density functional theory data (GGA-PBE) for AgSnO2F after structural relaxation.

Values from the calculation:
Formation energy (no corrections) = -112 kJ per mole of atoms
SG = P4/mmm (123)
Total energy = -4.893 eV per atom

Lattice parameters (Å, degrees): 4.0332 4.0332 4.2561 90.00 90.00 90.00
Last column: nearest neighbours and their distance in Å.
Atoms (fractional coordinates):
1 Ag 0.0000 0.0000 0.0000  4 F 2.85, 8 O 2.93
2 Sn 0.5000 0.5000 0.5000  4 O 2.02, 2 F 2.13
3 O 0.0000 0.5000 0.5000  2 Sn 2.02
4 O 0.5000 0.0000 0.5000  2 Sn 2.02
5 F 0.5000 0.5000 0.0000  2 Sn 2.13



Density functional theory data (GGA-PBE) for ErLuThTc after structural relaxation.

Values from the calculation:
SG = F-43m (216)
Total energy = -6.582 eV per atom

Lattice parameters (Å, degrees): 5.1846 5.1846 5.1846 60.00 60.00 60.00
Last column: nearest neighbours and their distance in Å.
Atoms (fractional coordinates):
1 Er 0.0000 0.0000 0.0000  4 Tc 3.17, 4 Lu 3.17
2 Lu 0.7500 0.7500 0.7500  4 Th 3.17, 4 Er 3.17
3 Th 0.5000 0.5000 0.5000  4 Tc 3.17, 4 Lu 3.17
4 Tc 0.2500 0.2500 0.2500  4 Th 3.17, 4 Er 3.17